1.
# Ac8HgTe4Ir3 (PBE-GGA, optimized geometry)
# DOS at the Fermi energy in states/eV per cell: 27.60
# Uncorrected formation energy in kJ/mol of atoms: -102.36
# Magnetic moment in Bohr magnetons per cell: 0.0
data_Ac8HgTe4Ir3
_chemical_formula_sum 'Ac24 Hg3 Te12 Ir9'
_symmetry_space_group_name_H-M 'R -3 m'
_symmetry_Int_Tables_number 166
_symmetry_space_group_name_Hall '-R 3 2"'
_cell_length_a 8.9722
_cell_length_b 8.9722
_cell_length_c 24.0398
_cell_angle_alpha 90.00
_cell_angle_beta 90.00
_cell_angle_gamma 120.00
loop_
_atom_site_label
_atom_site_fract_x
_atom_site_fract_y
_atom_site_fract_z
_atom_site_occupancy
Ac1 0.0000 0.0000 0.2367 1
Ac2 0.0186 0.5093 0.7624 1
Hg1 0.0000 0.0000 0.5000 1
Te1 0.0000 0.0000 0.0000 1
Te2 0.0000 0.5000 0.0000 1
Ir1 0.0000 0.5000 0.5000 1

=====

2.
# Ac3PtPb (PBE-GGA, optimized geometry)
# Energy of formation from the pure elements in eV per formula unit: -2.81
# DOS at the Fermi energy in states/eV per cell: 4.10
# Energy relative to the lowest polymorph listed for this composition in meV/atom: 167
# Magnetic moment in Bohr magnetons per cell: 0.0
data_Ac3PtPb
_chemical_formula_sum 'Ac3 Pt1 Pb1'
_symmetry_space_group_name_H-M 'P m -3 m'
_symmetry_Int_Tables_number 221
_symmetry_space_group_name_Hall '-P 4 2 3'
_cell_length_a 5.884
_cell_length_b 5.884
_cell_length_c 5.884
_cell_angle_alpha 90.00
_cell_angle_beta 90.00
_cell_angle_gamma 90.00
loop_
_atom_site_label
_atom_site_fract_x
_atom_site_fract_y
_atom_site_fract_z
_atom_site_occupancy
Ac1 0.000 0.000 0.500 1
Pt1 0.000 0.000 0.000 1
Pb1 0.500 0.500 0.500 1

=====

3.
# ZrScGe (PBE-GGA, optimized geometry)
# Energy of formation from the pure elements in eV per formula unit: -1.33
# DOS at the Fermi energy in states/eV per cell: 8.16
# Magnetic moment in Bohr magnetons per cell: 0.0
data_ZrScGe
_chemical_formula_sum 'Zr2 Sc2 Ge2'
_symmetry_space_group_name_H-M 'I 4 m m'
_symmetry_Int_Tables_number 107
_symmetry_space_group_name_Hall 'I 4 -2'
_cell_length_a 3.630
_cell_length_b 3.630
_cell_length_c 9.019
_cell_angle_alpha 90.00
_cell_angle_beta 90.00
_cell_angle_gamma 90.00
loop_
_atom_site_label
_atom_site_fract_x
_atom_site_fract_y
_atom_site_fract_z
_atom_site_occupancy
Zr1 0.000 0.000 0.000 1
Sc1 0.000 0.000 0.688 1
Ge1 0.000 0.000 0.346 1

=====

Q: What is the formula in the first record?
A: Ac8HgTe4Ir3

=====

Q: Which value of magnetic moment does entry 3 give?
A: 0.0 Bohr magnetons per cell

=====

Repeat the second record exactly.
# Ac3PtPb (PBE-GGA, optimized geometry)
# Energy of formation from the pure elements in eV per formula unit: -2.81
# DOS at the Fermi energy in states/eV per cell: 4.10
# Energy relative to the lowest polymorph listed for this composition in meV/atom: 167
# Magnetic moment in Bohr magnetons per cell: 0.0
data_Ac3PtPb
_chemical_formula_sum 'Ac3 Pt1 Pb1'
_symmetry_space_group_name_H-M 'P m -3 m'
_symmetry_Int_Tables_number 221
_symmetry_space_group_name_Hall '-P 4 2 3'
_cell_length_a 5.884
_cell_length_b 5.884
_cell_length_c 5.884
_cell_angle_alpha 90.00
_cell_angle_beta 90.00
_cell_angle_gamma 90.00
loop_
_atom_site_label
_atom_site_fract_x
_atom_site_fract_y
_atom_site_fract_z
_atom_site_occupancy
Ac1 0.000 0.000 0.500 1
Pt1 0.000 0.000 0.000 1
Pb1 0.500 0.500 0.500 1